TlFePbF6 | GGA+U | relaxed

Computed properties:
Density   6.0 g/cm³
E   -4.86 eV/atom

Cell and atoms, written as CIF:
```
data_TlFePbF6
_chemical_formula_sum 'Tl1 Fe1 Pb1 F6'
_symmetry_space_group_name_H-M 'P 3'
_symmetry_Int_Tables_number 143
_cell_length_a 5.9516
_cell_length_b 5.9516
_cell_length_c 5.2672
_cell_angle_alpha 90.00
_cell_angle_beta 90.00
_cell_angle_gamma 120.00
loop_
_symmetry_equiv_pos_as_xyz
'x,y,z'
'-y,x-y,z'
'-x+y,-x,z'
loop_
_atom_site_label
_atom_site_type_symbol
_atom_site_fract_x
_atom_site_fract_y
_atom_site_fract_z
Tl1 Tl 0.0000 0.0000 0.0000
Fe1 Fe 0.6667 0.3333 0.5844
Pb1 Pb 0.3333 0.6667 0.4823
F1 F 0.3642 0.2614 0.3783
F2 F 0.4516 0.0149 0.7858
```